# Pm6SiGe5 GGA-PBE optimized geometry
# volume = 27.28 A^3/atom
# E = -129.084 eV/cell
# total magnetization = 0.0000 μB/atom
data_Pm6SiGe5
_cell_length_a 7.427
_cell_length_b 12.712
_cell_length_c 7.343
_cell_angle_alpha 90.00
_cell_angle_beta 109.23
_cell_angle_gamma 90.00
_symmetry_space_group_name_H-M 'C 1 2/m 1'
_symmetry_Int_Tables_number 12
_symmetry_space_group_name_Hall '-C 2y'
loop_
_atom_site_label
_atom_site_type_symbol
_atom_site_fract_x
_atom_site_fract_y
_atom_site_fract_z
Pm1 Pm 0.248 0.000 0.251
Pm2 Pm 0.248 0.166 0.748
Si1 Si 0.000 0.000 0.500
Ge1 Ge 0.000 0.168 0.000
Ge2 Ge 0.000 0.334 0.500
Ge3 Ge 0.000 0.500 0.000

=====

# La2PrY2 GGA-PBE optimized geometry
# volume = 36.12 A^3/atom
# total magnetization = 0.0000 μB/atom
# distance to the lowest polymorph of the same formula = 14.7 meV/atom
data_La2PrY2
_cell_length_a 8.905
_cell_length_b 9.634
_cell_length_c 8.873
_cell_angle_alpha 90.00
_cell_angle_beta 108.37
_cell_angle_gamma 90.00
_symmetry_space_group_name_H-M 'C 1 2/c 1'
_symmetry_Int_Tables_number 15
_symmetry_space_group_name_Hall '-C 2yc'
loop_
_atom_site_label
_atom_site_type_symbol
_atom_site_fract_x
_atom_site_fract_y
_atom_site_fract_z
La1 La 0.000 0.000 0.000
La2 La 0.250 0.250 0.000
Pr1 Pr 0.000 0.300 0.250
Y1 Y 0.153 0.404 0.632

=====

# RbNpGa2S6 GGA-PBE optimized geometry
# volume = 28.52 A^3/atom
# E = -212.384 eV/cell
# total magnetization = 0.2000 μB/atom
data_RbNpGa2S6
_cell_length_a 12.941
_cell_length_b 12.787
_cell_length_c 7.283
_cell_angle_alpha 90.00
_cell_angle_beta 108.83
_cell_angle_gamma 90.00
_symmetry_space_group_name_H-M 'C 1 2/c 1'
_symmetry_Int_Tables_number 15
_symmetry_space_group_name_Hall '-C 2yc'
loop_
_atom_site_label
_atom_site_type_symbol
_atom_site_fract_x
_atom_site_fract_y
_atom_site_fract_z
Rb1 Rb 0.000 0.079 0.250
Np1 Np 0.000 0.291 0.750
Ga1 Ga 0.204 0.419 0.113
S1 S 0.075 0.298 0.113
S2 S 0.128 0.137 0.712
S3 S 0.168 0.431 0.776

=====

# AlPtBr2 GGA-PBE optimized geometry
# volume = 29.16 A^3/atom
# total magnetization = 0.0000 μB/atom
# distance to the lowest polymorph of the same formula = 28.0 meV/atom
data_AlPtBr2
_cell_length_a 5.342
_cell_length_b 3.653
_cell_length_c 6.143
_cell_angle_alpha 90.00
_cell_angle_beta 103.31
_cell_angle_gamma 90.00
_symmetry_space_group_name_H-M 'P 1 m 1'
_symmetry_Int_Tables_number 6
_symmetry_space_group_name_Hall 'P -2y'
loop_
_atom_site_label
_atom_site_type_symbol
_atom_site_fract_x
_atom_site_fract_y
_atom_site_fract_z
Al1 Al 0.000 0.000 0.000
Pt1 Pt 0.097 0.500 0.783
Br1 Br 0.590 0.500 0.832
Br2 Br 0.989 0.000 0.378

=====

# Mn2VIrC GGA-PBE optimized geometry
# volume = 11.31 A^3/atom
# E = -46.305 eV/cell
# total magnetization = 0.2833 μB/atom
data_Mn2VIrC
_cell_length_a 3.782
_cell_length_b 3.782
_cell_length_c 3.953
_cell_angle_alpha 90.00
_cell_angle_beta 90.00
_cell_angle_gamma 90.00
_symmetry_space_group_name_H-M 'P 4/m m m'
_symmetry_Int_Tables_number 123
_symmetry_space_group_name_Hall '-P 4 2'
loop_
_atom_site_label
_atom_site_type_symbol
_atom_site_fract_x
_atom_site_fract_y
_atom_site_fract_z
Mn1 Mn 0.000 0.500 0.000
V1 V 0.000 0.000 0.500
Ir1 Ir 0.500 0.500 0.500
C1 C 0.000 0.000 0.000

=====

# Y2SiCl GGA-PBE optimized geometry
# volume = 23.24 A^3/atom
# total magnetization = 0.1722 μB/atom
# distance to the lowest polymorph of the same formula = 1169.8 meV/atom
data_Y2SiCl
_cell_length_a 7.191
_cell_length_b 7.191
_cell_length_c 7.191
_cell_angle_alpha 90.00
_cell_angle_beta 90.00
_cell_angle_gamma 90.00
_symmetry_space_group_name_H-M 'F -4 3 m'
_symmetry_Int_Tables_number 216
_symmetry_space_group_name_Hall 'F -4 2 3'
loop_
_atom_site_label
_atom_site_type_symbol
_atom_site_fract_x
_atom_site_fract_y
_atom_site_fract_z
Y1 Y 0.000 0.000 0.000
Y2 Y 0.250 0.250 0.250
Si1 Si 0.250 0.250 0.750
Cl1 Cl 0.000 0.000 0.500

=====

# Ti4GeAu2 GGA-PBE optimized geometry
# volume = 20.36 A^3/atom
# E = -83.724 eV/cell
# total magnetization = 0.0000 μB/atom
data_Ti4GeAu2
_cell_length_a 4.656
_cell_length_b 4.656
_cell_length_c 13.147
_cell_angle_alpha 90.00
_cell_angle_beta 90.00
_cell_angle_gamma 90.00
_symmetry_space_group_name_H-M 'I 4/m m m'
_symmetry_Int_Tables_number 139
_symmetry_space_group_name_Hall '-I 4 2'
loop_
_atom_site_label
_atom_site_type_symbol
_atom_site_fract_x
_atom_site_fract_y
_atom_site_fract_z
Ti1 Ti 0.000 0.000 0.189
Ti2 Ti 0.000 0.500 0.000
Ge1 Ge 0.000 0.000 0.000
Au1 Au 0.000 0.000 0.381

=====

# Li2Ac3Pt4 GGA-PBE optimized geometry
# volume = 24.68 A^3/atom
# total magnetization = 0.0000 μB/atom
# distance to the lowest polymorph of the same formula = 10.0 meV/atom
data_Li2Ac3Pt4
_cell_length_a 4.183
_cell_length_b 7.372
_cell_length_c 7.906
_cell_angle_alpha 71.51
_cell_angle_beta 74.73
_cell_angle_gamma 89.98
_symmetry_space_group_name_H-M 'P -1'
_symmetry_Int_Tables_number 2
_symmetry_space_group_name_Hall '-P 1'
loop_
_atom_site_label
_atom_site_type_symbol
_atom_site_fract_x
_atom_site_fract_y
_atom_site_fract_z
Li1 Li 0.179 0.490 0.141
Ac1 Ac 0.357 0.929 0.786
Ac2 Ac 0.500 0.500 0.500
Pt1 Pt 0.015 0.198 0.471
Pt2 Pt 0.290 0.280 0.921

=====

# Dy3ErRh GGA-PBE optimized geometry
# volume = 29.92 A^3/atom
# total magnetization = 0.0000 μB/atom
# distance to the lowest polymorph of the same formula = 105.8 meV/atom
data_Dy3ErRh
_cell_length_a 7.541
_cell_length_b 6.488
_cell_length_c 6.115
_cell_angle_alpha 90.00
_cell_angle_beta 90.00
_cell_angle_gamma 90.00
_symmetry_space_group_name_H-M 'P m n 21'
_symmetry_Int_Tables_number 31
_symmetry_space_group_name_Hall 'P 2ac -2'
loop_
_atom_site_label
_atom_site_type_symbol
_atom_site_fract_x
_atom_site_fract_y
_atom_site_fract_z
Dy1 Dy 0.000 0.151 0.000
Dy2 Dy 0.250 0.312 0.506
Er1 Er 0.000 0.848 0.514
Rh1 Rh 0.000 0.502 0.257

=====

# NdNpBeN3 GGA-PBE optimized geometry
# volume = 13.72 A^3/atom
# E = -106.535 eV/cell
# total magnetization = 0.4653 μB/atom
data_NdNpBeN3
_cell_length_a 6.967
_cell_length_b 3.342
_cell_length_c 7.198
_cell_angle_alpha 90.00
_cell_angle_beta 100.91
_cell_angle_gamma 90.00
_symmetry_space_group_name_H-M 'P 1 21/m 1'
_symmetry_Int_Tables_number 11
_symmetry_space_group_name_Hall '-P 2yb'
loop_
_atom_site_label
_atom_site_type_symbol
_atom_site_fract_x
_atom_site_fract_y
_atom_site_fract_z
Nd1 Nd 0.215 0.250 0.174
Np1 Np 0.182 0.250 0.659
Be1 Be 0.404 0.750 0.926
N1 N 0.143 0.750 0.424
N2 N 0.153 0.750 0.878
N3 N 0.489 0.250 0.842

=====

# La4PmAl2 GGA-PBE optimized geometry
# volume = 32.39 A^3/atom
# total magnetization = 0.0001 μB/atom
# distance to the lowest polymorph of the same formula = 39.3 meV/atom
data_La4PmAl2
_cell_length_a 5.933
_cell_length_b 5.933
_cell_length_c 12.880
_cell_angle_alpha 90.00
_cell_angle_beta 90.00
_cell_angle_gamma 90.00
_symmetry_space_group_name_H-M 'I 4/m m m'
_symmetry_Int_Tables_number 139
_symmetry_space_group_name_Hall '-I 4 2'
loop_
_atom_site_label
_atom_site_type_symbol
_atom_site_fract_x
_atom_site_fract_y
_atom_site_fract_z
La1 La 0.000 0.500 0.000
La2 La 0.000 0.500 0.250
Pm1 Pm 0.000 0.000 0.000
Al1 Al 0.000 0.000 0.388

=====

# Pr4Dy8Ho3 GGA-PBE optimized geometry
# volume = 33.91 A^3/atom
# total magnetization = 0.0001 μB/atom
# distance to the lowest polymorph of the same formula = 245.0 meV/atom
data_Pr4Dy8Ho3
_cell_length_a 13.467
_cell_length_b 12.858
_cell_length_c 6.784
_cell_angle_alpha 90.00
_cell_angle_beta 120.01
_cell_angle_gamma 90.00
_symmetry_space_group_name_H-M 'C 1 2/m 1'
_symmetry_Int_Tables_number 12
_symmetry_space_group_name_Hall '-C 2y'
loop_
_atom_site_label
_atom_site_type_symbol
_atom_site_fract_x
_atom_site_fract_y
_atom_site_fract_z
Pr1 Pr 0.000 0.000 0.000
Pr2 Pr 0.000 0.000 0.500
Pr3 Pr 0.250 0.250 0.000
Dy1 Dy 0.000 0.256 0.000
Dy2 Dy 0.000 0.362 0.500
Dy3 Dy 0.228 0.500 0.959
Dy4 Dy 0.232 0.500 0.485
Ho1 Ho 0.000 0.500 0.000
Ho2 Ho 0.250 0.250 0.500